{
  "formula": "V2S3O12",
  "functional": "PBE with a Hubbard U",
  "state": "relaxed",
  "cell": [[7.6750, 0.0354, -0.0033], [3.2950, 6.9318, -0.0033], [2.9904, 1.8992, 7.9534]],
  "species": ["O", "O", "O", "O", "O", "S", "O", "V", "O", "O", "O", "O", "O", "S", "V", "S", "O", "O", "S", "O", "O", "O", "S", "O", "O", "V", "O", "V", "O", "O", "O", "S", "O", "O"],
  "fractional_positions": [[0.1263, 0.0338, 0.6133], [0.8737, 0.9662, 0.3867], [0.9662, 0.8737, 0.8867], [0.3937, 0.6467, 0.8815], [0.9044, 0.2270, 0.8157], [0.5155, 0.7706, 0.8340], [0.3533, 0.6063, 0.6185], [0.1293, 0.6183, 0.0192], [0.5310, 0.8678, 0.6397], [0.3640, 0.2745, 0.6598], [0.0338, 0.1263, 0.1133], [0.1322, 0.4690, 0.8603], [0.2270, 0.9044, 0.3157], [0.0572, 0.9428, 0.2500], [0.8707, 0.3817, 0.9808], [0.4845, 0.2294, 0.1660], [0.2745, 0.3640, 0.1598], [0.5609, 0.0765, 0.0777], [0.7706, 0.5155, 0.3340], [0.4690, 0.1322, 0.3603], [0.0956, 0.7730, 0.1843], [0.9235, 0.4391, 0.4223], [0.9428, 0.0572, 0.7500], [0.0765, 0.5609, 0.5777], [0.6063, 0.3533, 0.1185], [0.6183, 0.1293, 0.5192], [0.7730, 0.0956, 0.6843], [0.3817, 0.8707, 0.4808], [0.6467, 0.3937, 0.3815], [0.4391, 0.9235, 0.9223], [0.8678, 0.5310, 0.1397], [0.2294, 0.4845, 0.6660], [0.7255, 0.6360, 0.8402], [0.6360, 0.7255, 0.3402]],
  "spacegroup": "No. 15",
  "e_tot_ev_per_fu": -112.66,
  "magnetic_moment_mub_per_cell": 8.000
}


{
  "formula": "VS2O8",
  "functional": "PBE with a Hubbard U",
  "state": "relaxed",
  "cell": [[-1.8038, 3.6278, 2.2274], [-4.1270, -3.1527, 3.2454], [2.7846, -1.0141, 5.3593]],
  "species": ["O", "O", "O", "O", "O", "V", "O", "S", "S", "O", "O"],
  "fractional_positions": [[0.2738, 0.3405, 0.3405], [0.7800, 0.7287, 0.0386], [0.7262, 0.6595, 0.6595], [0.2200, 0.9614, 0.2713], [0.7800, 0.0386, 0.7287], [0.0000, 0.0000, 0.0000], [0.6739, 0.1501, 0.1501], [0.6549, 0.8076, 0.8076], [0.3451, 0.1924, 0.1924], [0.3261, 0.8499, 0.8499], [0.2200, 0.2713, 0.9614]],
  "spacegroup": "No. 12",
  "e_above_lowest_polymorph_ev_per_atom": 0.0337,
  "magnetic_moment_mub_per_cell": 0.886
}


{
  "formula": "VSO4",
  "functional": "PBE with a Hubbard U",
  "state": "relaxed",
  "cell": [[4.8835, 0.0000, 0.0000], [0.0000, 8.8836, -0.0002], [0.0000, 0.0002, 6.9091]],
  "species": ["S", "S", "O", "V", "O", "V", "O", "O", "O", "O", "O", "S", "V", "O", "O", "V", "S", "O", "O", "O", "O", "O", "O", "O"],
  "fractional_positions": [[0.5114, 0.8224, 0.7500], [0.4885, 0.1776, 0.2500], [0.2814, 0.3769, 0.7500], [0.5000, 0.5000, 0.5000], [0.9806, 0.1518, 0.7500], [0.0000, 0.0000, 0.5000], [0.7814, 0.1231, 0.2500], [0.2186, 0.8769, 0.7500], [0.3546, 0.1267, 0.4285], [0.7186, 0.6231, 0.2500], [0.0195, 0.8482, 0.2500], [0.9885, 0.3224, 0.7500], [0.0000, 0.0000, 0.0000], [0.8546, 0.3733, 0.5715], [0.1454, 0.6267, 0.0715], [0.5000, 0.5000, 0.0000], [0.0115, 0.6776, 0.2500], [0.8546, 0.3733, 0.9286], [0.6454, 0.8733, 0.9285], [0.4805, 0.3482, 0.2500], [0.6454, 0.8733, 0.5715], [0.3546, 0.1267, 0.0714], [0.5194, 0.6518, 0.7500], [0.1454, 0.6267, 0.4285]],
  "spacegroup": "No. 62",
  "e_tot_ev_per_fu": -40.81,
  "magnetic_moment_mub_per_cell": 12.000
}


{
  "formula": "VS2O8",
  "functional": "PBE with a Hubbard U",
  "state": "relaxed",
  "cell": [[-1.0118, -7.0884, -5.3483], [5.2729, -1.7791, -6.9931], [5.7121, -6.8653, -0.3352]],
  "species": ["O", "O", "V", "O", "S", "O", "S", "O", "O", "O", "O", "O", "S", "S", "O", "O", "O", "O", "V", "S", "O", "V", "O", "O", "O", "O", "O", "O", "S", "O", "O", "O", "O"],
  "fractional_positions": [[0.0619, 0.7079, 0.6289], [0.3885, 0.6050, 0.7712], [0.6440, 0.6440, 0.6440], [0.3688, 0.4438, 0.0975], [0.7437, 0.4586, 0.0496], [0.0682, 0.6612, 0.0293], [0.2579, 0.5275, 0.9684], [0.6050, 0.7712, 0.3885], [0.7195, 0.4877, 0.8834], [0.6289, 0.0619, 0.7079], [0.7712, 0.3885, 0.6050], [0.3037, 0.0470, 0.9389], [0.5275, 0.9684, 0.2579], [0.0496, 0.7437, 0.4586], [0.4877, 0.8834, 0.7195], [0.2572, 0.3527, 0.9765], [0.9765, 0.2572, 0.3527], [0.3556, 0.2367, 0.6043], [0.3530, 0.3530, 0.3530], [0.9684, 0.2579, 0.5275], [0.6043, 0.3556, 0.2367], [0.1497, 0.1497, 0.1497], [0.0293, 0.0682, 0.6612], [0.6612, 0.0293, 0.0682], [0.3527, 0.9765, 0.2572], [0.8834, 0.7195, 0.4877], [0.4438, 0.0975, 0.3688], [0.9389, 0.3037, 0.0470], [0.4586, 0.0496, 0.7437], [0.7079, 0.6289, 0.0619], [0.0470, 0.9389, 0.3037], [0.0975, 0.3688, 0.4438], [0.2367, 0.6043, 0.3556]],
  "spacegroup": "No. 146",
  "e_above_lowest_polymorph_ev_per_atom": 0.0123,
  "magnetic_moment_mub_per_cell": 3.000
}


Copy entry 4 word for word.
{
  "formula": "VS2O8",
  "functional": "PBE with a Hubbard U",
  "state": "relaxed",
  "cell": [[-1.0118, -7.0884, -5.3483], [5.2729, -1.7791, -6.9931], [5.7121, -6.8653, -0.3352]],
  "species": ["O", "O", "V", "O", "S", "O", "S", "O", "O", "O", "O", "O", "S", "S", "O", "O", "O", "O", "V", "S", "O", "V", "O", "O", "O", "O", "O", "O", "S", "O", "O", "O", "O"],
  "fractional_positions": [[0.0619, 0.7079, 0.6289], [0.3885, 0.6050, 0.7712], [0.6440, 0.6440, 0.6440], [0.3688, 0.4438, 0.0975], [0.7437, 0.4586, 0.0496], [0.0682, 0.6612, 0.0293], [0.2579, 0.5275, 0.9684], [0.6050, 0.7712, 0.3885], [0.7195, 0.4877, 0.8834], [0.6289, 0.0619, 0.7079], [0.7712, 0.3885, 0.6050], [0.3037, 0.0470, 0.9389], [0.5275, 0.9684, 0.2579], [0.0496, 0.7437, 0.4586], [0.4877, 0.8834, 0.7195], [0.2572, 0.3527, 0.9765], [0.9765, 0.2572, 0.3527], [0.3556, 0.2367, 0.6043], [0.3530, 0.3530, 0.3530], [0.9684, 0.2579, 0.5275], [0.6043, 0.3556, 0.2367], [0.1497, 0.1497, 0.1497], [0.0293, 0.0682, 0.6612], [0.6612, 0.0293, 0.0682], [0.3527, 0.9765, 0.2572], [0.8834, 0.7195, 0.4877], [0.4438, 0.0975, 0.3688], [0.9389, 0.3037, 0.0470], [0.4586, 0.0496, 0.7437], [0.7079, 0.6289, 0.0619], [0.0470, 0.9389, 0.3037], [0.0975, 0.3688, 0.4438], [0.2367, 0.6043, 0.3556]],
  "spacegroup": "No. 146",
  "e_above_lowest_polymorph_ev_per_atom": 0.0123,
  "magnetic_moment_mub_per_cell": 3.000
}